CsZnCd2S after structural relaxation, computed with PBE-GGA.

Output
DOS(E_F)	1.93	states/eV per cell
ΔE_f (raw)	-0.126	eV/atom
SG	P4/mmm, No. 123

Cell and atoms, written as POSCAR:
```
CsZnCd2S
1.0
5.325 0.000 0.000
0.000 5.325 0.000
0.000 0.000 5.250
Cs Zn Cd S
1 1 2 1
Direct
0.000 0.000 0.000
0.500 0.500 0.500
0.000 0.500 0.500
0.500 0.000 0.500
0.500 0.500 0.000
```